w) DFT (PBE) results for InGaHPb2 after structural relaxation.

The value obtained for the total magnetic moment is 0.0 μB/f.u. The value obtained for the calculated density is 8.65 g/cm³.

The structure belongs to space group P4/mmm (No. 123); the cell edges are 5.027, 5.027 and 4.558 Å and the angles 90.00°, 90.00° and 90.00°. The inequivalent atoms are In at (0.000, 0.000, 0.000), Ga at (0.500, 0.500, 0.000), H at (0.500, 0.500, 0.500) and Pb at (0.000, 0.500, 0.500).



x) DFT (PBE) results for InGaHPb2 after structural relaxation.

The value obtained for the total magnetic moment is 0.0 μB/f.u. The value obtained for the calculated density is 8.37 g/cm³.

The structure belongs to space group P4/mmm (No. 123); the cell edges are 5.916, 5.916 and 3.401 Å and the angles 90.00°, 90.00° and 90.00°. The inequivalent atoms are In at (0.000, 0.000, 0.000), Ga at (0.500, 0.500, 0.500), H at (0.500, 0.500, 0.000) and Pb at (0.000, 0.500, 0.500).



Which of them is most stable, and which least? Most stable: x); least stable: w).



w) DFT (PBE) results for TlIn2GaH after structural relaxation.

The value obtained for the total magnetic moment is 0.0 μB/f.u. The value obtained for the calculated density is 7.43 g/cm³.

The structure belongs to space group P4/mmm (No. 123); the cell edges are 5.729, 5.729 and 3.439 Å and the angles 90.00°, 90.00° and 90.00°. The inequivalent atoms are Tl at (0.000, 0.000, 0.000), In at (0.000, 0.500, 0.500), Ga at (0.500, 0.500, 0.500) and H at (0.500, 0.500, 0.000).



x) DFT (PBE) results for TlIn2GaH after structural relaxation.

The value obtained for the total magnetic moment is 0.0 μB/f.u. The value obtained for the calculated density is 7.67 g/cm³.

The structure belongs to space group P4/mmm (No. 123); the cell edges are 4.944, 4.944 and 4.470 Å and the angles 90.00°, 90.00° and 90.00°. The inequivalent atoms are Tl at (0.000, 0.000, 0.000), In at (0.000, 0.500, 0.500), Ga at (0.500, 0.500, 0.000) and H at (0.500, 0.500, 0.500).



Which of them is most stable, and which least? Most stable: w); least stable: x).



w) DFT (PBE) results for GaHIr after structural relaxation.

The value obtained for the total magnetic moment is 0.0 μB/f.u. The value obtained for the calculated density is 12.78 g/cm³.

The structure belongs to space group P-6m2 (No. 187); the cell edges are 3.6166, 3.6166 and 3.0154 Å and the angles 90.00°, 90.00° and 120.00°. The inequivalent atoms are Ga at (0.0000, 0.0000, 0.0000), H at (0.3333, 0.6667, 0.5000) and Ir at (0.6667, 0.3333, 0.5000).



x) DFT (PBE) results for GaHIr after structural relaxation.

The value obtained for the total magnetic moment is 0.0 μB/f.u. The value obtained for the calculated density is 12.52 g/cm³.

The structure belongs to space group P-1 (No. 2); the cell edges are 3.029, 4.859 and 4.972 Å and the angles 90.05°, 107.66° and 90.02°. The inequivalent atoms are Ga at (0.089, 0.250, 0.181), H at (0.410, 0.252, 0.824) and Ir at (0.188, 0.750, 0.372).



y) DFT (PBE) results for GaHIr after structural relaxation.

The value obtained for the total magnetic moment is 0.0 μB/f.u. The value obtained for the calculated density is 11.63 g/cm³.

The structure belongs to space group I4mm (No. 107); the cell edges are 3.126, 3.126 and 7.679 Å and the angles 90.00°, 90.00° and 90.00°. The inequivalent atoms are Ga at (0.000, 0.000, 0.000), H at (0.000, 0.000, 0.551) and Ir at (0.000, 0.000, 0.333).



z) DFT (PBE) results for GaHIr after structural relaxation.

The value obtained for the total magnetic moment is 0.0 μB/f.u. The value obtained for the calculated density is 12.41 g/cm³.

The structure belongs to space group Immm (No. 71); the cell edges are 3.361, 5.701 and 7.345 Å and the angles 90.00°, 90.00° and 90.00°. The inequivalent atoms are Ga at (0.000, 0.000, 0.209), H at (0.000, 0.340, 0.000) and Ir at (0.000, 0.252, 0.500).



Which of them is most stable, and which least? Most stable: z); least stable: y).



w) DFT (PBE) results for GaH3Ir after structural relaxation.

The value obtained for the total magnetic moment is 0.0 μB/f.u. The value obtained for the calculated density is 10.15 g/cm³.

The structure belongs to space group Pm-3m (No. 221); the cell edges are 3.513, 3.513 and 3.513 Å and the angles 90.00°, 90.00° and 90.00°. The inequivalent atoms are Ga at (0.000, 0.000, 0.000), H at (0.000, 0.000, 0.500) and Ir at (0.500, 0.500, 0.500).



x) DFT (PBE) results for GaH3Ir after structural relaxation.

The value obtained for the total magnetic moment is 0.0 μB/f.u. The value obtained for the calculated density is 9.48 g/cm³.

The structure belongs to space group Pm-3m (No. 221); the cell edges are 3.594, 3.594 and 3.594 Å and the angles 90.00°, 90.00° and 90.00°. The inequivalent atoms are Ga at (0.000, 0.000, 0.000), H at (0.000, 0.500, 0.500) and Ir at (0.500, 0.500, 0.500).



Which of them is most stable, and which least? Most stable: x); least stable: w).



w) DFT (PBE) results for GaHIr3 after structural relaxation.

The value obtained for the total magnetic moment is 0.0 μB/f.u. The value obtained for the calculated density is 17.54 g/cm³.

The structure belongs to space group Pm-3m (No. 221); the cell edges are 3.942, 3.942 and 3.942 Å and the angles 90.00°, 90.00° and 90.00°. The inequivalent atoms are Ga at (0.000, 0.000, 0.000), H at (0.500, 0.500, 0.500) and Ir at (0.000, 0.500, 0.500).



x) DFT (PBE) results for GaHIr3 after structural relaxation.

The value obtained for the total magnetic moment is 1.7 μB/f.u. The value obtained for the calculated density is 11.25 g/cm³.

The structure belongs to space group Pm-3m (No. 221); the cell edges are 4.572, 4.572 and 4.572 Å and the angles 90.00°, 90.00° and 90.00°. The inequivalent atoms are Ga at (0.000, 0.000, 0.000), H at (0.500, 0.500, 0.500) and Ir at (0.000, 0.000, 0.500).



Which of them is most stable, and which least? Most stable: w); least stable: x).



w) DFT (PBE) results for Ga2HIr after structural relaxation.

The value obtained for the total magnetic moment is 0.0 μB/f.u. The value obtained for the calculated density is 9.58 g/cm³.

The structure belongs to space group R-3m (No. 166, hexagonal axes); the cell edges are 3.0149, 3.0149 and 21.9826 Å and the angles 90.00°, 90.00° and 120.00°. The inequivalent atoms are Ga at (0.0000, 0.0000, 0.0809), H at (0.0000, 0.0000, 0.0000) and Ir at (0.0000, 0.0000, 0.5000).



x) DFT (PBE) results for Ga2HIr after structural relaxation.

The value obtained for the total magnetic moment is 0.0 μB/f.u. The value obtained for the calculated density is 9.15 g/cm³.

The structure belongs to space group I-42d (No. 122); the cell edges are 4.721, 4.721 and 10.833 Å and the angles 90.00°, 90.00° and 90.00°. The inequivalent atoms are Ga at (0.150, 0.250, 0.125), H at (0.000, 0.000, 0.000) and Ir at (0.000, 0.000, 0.500).



Which of them is most stable, and which least? Most stable: w); least stable: x).